(1)
This record from Alexandria via LeMat-Bulk describes Eu3Y after structural relaxation. The functional is PBE-GGA.

Summary:
Energy of formation (eV/atom): 0.089
Energy above the most stable polymorph in this dataset (eV/atom): 0.009
SG: No. 194

```
8
Lattice="-7.1132 -2.7806 -0.2266 5.5879 -3.4809 -3.8780 1.2147 -3.5065 4.8977" Properties=species:S:1:pos:R:3 pbc="T T T"
Eu -1.3029 -7.2400 0.9217
Eu -4.0493 -5.5292 2.8277
Eu 3.7388 -4.2388 -2.0347
Eu -0.5532 -4.1625 2.9391
Eu 0.2427 -5.6055 -2.1461
Eu 0.9923 -2.5280 -0.1287
Y -2.5758 -3.8907 -0.2193
Y 2.2653 -5.8773 1.0124
```

(2)
This record from Alexandria via LeMat-Bulk describes TlCrFe2 after structural relaxation. The functional is PBE-GGA.

Summary:
Energy of formation (eV/atom): 0.604
Energy above the most stable polymorph in this dataset (eV/atom): 0.138
SG: No. 123

```
4
Lattice="-3.2418 -0.9654 -1.7796 2.0157 -1.8530 -2.6668 -0.2036 -3.4433 2.2387" Properties=species:S:1:pos:R:3 pbc="T T T"
Tl -1.7227 -2.2043 0.2295
Fe -0.6130 -1.4092 -2.2232
Fe 0.0000 0.0000 0.0000
Cr 0.9061 -2.6481 -0.2140
```

(3)
This record from Alexandria via LeMat-Bulk describes CeGdBiPd after structural relaxation. The functional is PBE-GGA.

Summary:
Energy of formation (eV/atom): -0.610
SG: No. 216

```
4
Lattice="-4.5944 0.6938 2.5889 -4.5817 -1.4551 -2.2767 -2.6709 -4.2103 1.8525" Properties=species:S:1:pos:R:3 pbc="T T T"
Bi 0.0000 0.0000 0.0000
Gd -8.8852 -3.7287 1.6236
Pd -5.9235 -2.4858 1.0824
Ce -2.9617 -1.2429 0.5412
```